1.
5
Lattice="4.177 0.000 0.000 0.000 4.177 0.000 0.000 0.000 4.068" Properties=species:S:1:pos:R:3 comment="SiAsNF2 (PBE, relaxed)" e_form_raw_ev_per_atom=-0.03 relative_energy_ev_per_fu=2.62 pbc="T T T"
N 0.000 0.000 2.034
As 0.000 0.000 0.000
F 0.000 2.088 0.000
F 2.088 0.000 0.000
Si 2.088 2.088 2.034

---

2.
4
Lattice="3.488 0.000 0.000 0.000 3.488 0.000 0.000 0.000 6.940" Properties=species:S:1:pos:R:3 comment="SmDyRuPt (PBE, relaxed)" formation_enthalpy_0k_ev_per_atom=-0.752 relative_energy_ev_per_fu=0.00 pbc="T T T"
Pt 0.000 0.000 5.881
Dy 1.744 1.744 4.184
Sm 1.744 1.744 0.787
Ru 0.000 0.000 2.528

---

3.
4
Lattice="-4.007 -6.595 -5.183 -1.359 -8.356 -3.840 -4.282 -7.994 -2.040" Properties=species:S:1:pos:R:3 comment="Tl2CrAu (PBE, relaxed)" formation_enthalpy_0k_ev_per_atom=0.335 relative_energy_ev_per_fu=0.35 pbc="T T T"
Cr -7.301 -17.363 -8.372
Tl -2.344 -5.574 -2.688
Tl -0.098 -0.233 -0.112
Au -4.729 -11.247 -5.423

---

4.
8
Lattice="-6.861 -15.458 7.082 2.884 4.140 -4.974 -0.368 -6.961 1.248" Properties=species:S:1:pos:R:3 comment="H6PbBr (PBE, relaxed)" final_energy_ev_per_atom=-2.51 pbc="T T T"
H 1.955 1.437 -3.549
H -6.300 -19.714 6.906
H -2.483 -10.897 1.016
H -3.669 -9.568 2.775
H -1.861 -7.380 2.340
H -0.676 -8.710 0.581
Pb -0.547 -3.589 -1.433
Br -3.977 -11.317 2.108

---

5.
15
Lattice="-1.938 8.834 0.382 -5.703 -5.709 -4.091 -0.343 -5.034 7.510" Properties=species:S:1:pos:R:3 comment="Pr8Tl3In4 (PBE, relaxed)" formation_enthalpy_0k_ev_per_atom=-0.142 pbc="T T T"
Pr -2.649 -0.786 4.808
Pr -4.372 -7.753 2.471
Pr -3.612 5.844 1.329
Pr -5.230 -3.841 2.640
Pr -1.833 -5.222 4.285
Pr -5.336 -1.124 -1.008
Pr -2.754 1.931 1.160
Pr -4.213 -5.521 -0.866
In -0.969 4.417 0.191
In -2.852 -2.854 -2.046
In 0.000 0.000 0.000
In -0.172 -2.517 3.755
Tl -1.141 1.900 3.946
Tl -3.992 -0.955 1.900
Tl -3.821 1.562 -1.855

---

6.
3
Lattice="-1.795 0.836 3.189 -0.869 -2.723 2.433 1.803 -0.228 3.284" Properties=species:S:1:pos:R:3 comment="BeCuTc (PBE, relaxed)" formation_enthalpy_0k_ev_per_atom=0.453 relative_energy_ev_per_fu=1.23 pbc="T T T"
Cu 0.000 0.000 0.000
Be -0.646 -1.586 6.680
Tc -0.431 -1.058 4.453

---

| no. | N(E_F) (states/eV/atom) |
| --- | --- |
| 1 | 0.313 |
| 2 | 0.608 |
| 3 | 0.607 |
| 4 | 0.208 |
| 5 | 0.895 |
| 6 | 0.923 |